! Li4Pu3HgO12 PBE relaxed; values from VASP
&SYSTEM
  ibrav = 0, nat = 20, ntyp = 4
/
ATOMIC_SPECIES
O 16.00 O.upf
Li 6.94 Li.upf
Hg 200.59 Hg.upf
Pu 244.00 Pu.upf
ATOMIC_POSITIONS crystal
O 0.735 0.064 0.628
O 0.936 0.265 0.372
O 0.265 0.372 0.936
Li 0.500 0.939 0.061
O 0.111 0.889 0.500
Hg 0.000 0.000 0.000
Pu 0.000 0.560 0.440
O 0.333 0.667 0.500
O 0.889 0.500 0.111
O 0.500 0.333 0.667
Pu 0.560 0.440 0.000
Li 0.061 0.500 0.939
Li 0.939 0.061 0.500
Pu 0.440 0.000 0.560
Li 0.500 0.500 0.500
O 0.064 0.628 0.735
O 0.372 0.936 0.265
O 0.628 0.735 0.064
O 0.500 0.111 0.889
O 0.667 0.500 0.333
CELL_PARAMETERS angstrom
7.174 -0.211 -0.293
-1.933 6.911 -0.293
-1.933 -2.471 6.461
! energy = -152.04 eV/cell
! formation energy (no corrections) = -2.079 eV/atom
! D(E_F) = 8.3 states/eV/f.u.
! M_tot = 3.94 μB per cell